(1)
## CaPd5 (meta-GGA SCAN)

Data for CaPd5 at its PBEsol-relaxed geometry. Values from VASP.

Quantum ESPRESSO input file:
```
&SYSTEM
  ibrav = 0, nat = 6, ntyp = 2
/
ATOMIC_SPECIES
Ca 40.08 Ca.upf
Pd 106.42 Pd.upf
ATOMIC_POSITIONS crystal
Ca 0.000 0.000 0.000
Pd 0.000 0.500 0.500
Pd 0.333 0.667 0.000
Pd 0.500 0.000 0.500
Pd 0.500 0.500 0.500
Pd 0.667 0.333 0.000
CELL_PARAMETERS angstrom
5.245 0.000 0.000
-2.623 4.543 0.000
0.000 0.000 4.376
```

Energy relative to the elements   -0.3791 eV/atom
Symmetry   P6/mmm

(2)
## CaPmPd2 (meta-GGA SCAN)

Data for CaPmPd2 at its PBEsol-relaxed geometry. Values from VASP.

Quantum ESPRESSO input file:
```
&SYSTEM
  ibrav = 0, nat = 4, ntyp = 3
/
ATOMIC_SPECIES
Ca 40.08 Ca.upf
Pm 145.00 Pm.upf
Pd 106.42 Pd.upf
ATOMIC_POSITIONS crystal
Ca 0.000 0.000 0.000
Pm 0.500 0.500 0.500
Pd 0.250 0.250 0.250
Pd 0.750 0.750 0.750
CELL_PARAMETERS angstrom
0.000 3.498 3.498
3.498 0.000 3.498
3.498 3.498 0.000
```

Energy relative to the elements   -0.8001 eV/atom
Symmetry   Fm-3m

(3)
## CaPd2Pt (meta-GGA SCAN)

Data for CaPd2Pt at its PBEsol-relaxed geometry. Values from VASP.

Quantum ESPRESSO input file:
```
&SYSTEM
  ibrav = 0, nat = 4, ntyp = 3
/
ATOMIC_SPECIES
Ca 40.08 Ca.upf
Pd 106.42 Pd.upf
Pt 195.08 Pt.upf
ATOMIC_POSITIONS crystal
Ca 0.000 0.000 0.000
Pd 0.250 0.250 0.250
Pd 0.750 0.750 0.750
Pt 0.500 0.500 0.500
CELL_PARAMETERS angstrom
0.000 3.224 3.224
3.224 0.000 3.224
3.224 3.224 0.000
```

Energy relative to the elements   -0.4496 eV/atom
Symmetry   Fm-3m

(4)
## Ca2PdPt (meta-GGA SCAN)

Data for Ca2PdPt at its PBEsol-relaxed geometry. Values from VASP.

Quantum ESPRESSO input file:
```
&SYSTEM
  ibrav = 0, nat = 4, ntyp = 3
/
ATOMIC_SPECIES
Ca 40.08 Ca.upf
Pd 106.42 Pd.upf
Pt 195.08 Pt.upf
ATOMIC_POSITIONS crystal
Ca 0.250 0.250 0.250
Ca 0.750 0.750 0.750
Pd 0.000 0.000 0.000
Pt 0.500 0.500 0.500
CELL_PARAMETERS angstrom
0.000 3.439 3.439
3.439 0.000 3.439
3.439 3.439 0.000
```

Energy relative to the elements   -0.8676 eV/atom
Symmetry   Fm-3m

(5)
## CaPdPt (meta-GGA SCAN)

Data for CaPdPt at its PBEsol-relaxed geometry. Values from VASP.

Quantum ESPRESSO input file:
```
&SYSTEM
  ibrav = 0, nat = 6, ntyp = 3
/
ATOMIC_SPECIES
Ca 40.08 Ca.upf
Pd 106.42 Pd.upf
Pt 195.08 Pt.upf
ATOMIC_POSITIONS crystal
Ca 0.374 0.124 0.250
Ca 0.626 0.876 0.750
Pd 0.000 0.500 0.500
Pd 0.500 0.500 0.000
Pt 0.000 0.000 0.500
Pt 0.000 0.500 0.000
CELL_PARAMETERS angstrom
-2.681 2.683 3.800
2.681 -2.683 3.800
2.681 2.683 -3.800
```

Energy relative to the elements   -0.9258 eV/atom
Symmetry   Imma

(6)
## RbCa2Pd (meta-GGA SCAN)

Data for RbCa2Pd at its PBEsol-relaxed geometry. Values from VASP.

Quantum ESPRESSO input file:
```
&SYSTEM
  ibrav = 0, nat = 4, ntyp = 3
/
ATOMIC_SPECIES
Rb 85.47 Rb.upf
Ca 40.08 Ca.upf
Pd 106.42 Pd.upf
ATOMIC_POSITIONS crystal
Rb 0.000 0.000 0.000
Ca 0.250 0.250 0.250
Ca 0.750 0.750 0.750
Pd 0.500 0.500 0.500
CELL_PARAMETERS angstrom
0.000 3.878 3.878
3.878 0.000 3.878
3.878 3.878 0.000
```

Energy relative to the elements   0.0716 eV/atom
Symmetry   Fm-3m

(7)
## Rb2CaPd (meta-GGA SCAN)

Data for Rb2CaPd at its PBEsol-relaxed geometry. Values from VASP.

Quantum ESPRESSO input file:
```
&SYSTEM
  ibrav = 0, nat = 4, ntyp = 3
/
ATOMIC_SPECIES
Rb 85.47 Rb.upf
Ca 40.08 Ca.upf
Pd 106.42 Pd.upf
ATOMIC_POSITIONS crystal
Rb 0.250 0.250 0.250
Rb 0.750 0.750 0.750
Ca 0.000 0.000 0.000
Pd 0.500 0.500 0.500
CELL_PARAMETERS angstrom
0.000 4.196 4.196
4.196 0.000 4.196
4.196 4.196 0.000
```

Energy relative to the elements   0.4627 eV/atom
Symmetry   Fm-3m

(8)
## CaRePd3 (meta-GGA SCAN)

Data for CaRePd3 at its PBEsol-relaxed geometry. Values from VASP.

Quantum ESPRESSO input file:
```
&SYSTEM
  ibrav = 0, nat = 5, ntyp = 3
/
ATOMIC_SPECIES
Ca 40.08 Ca.upf
Re 186.21 Re.upf
Pd 106.42 Pd.upf
ATOMIC_POSITIONS crystal
Ca 0.000 0.000 0.000
Re 0.500 0.500 0.500
Pd 0.000 0.000 0.500
Pd 0.000 0.500 0.000
Pd 0.500 0.000 0.000
CELL_PARAMETERS angstrom
4.669 0.000 0.000
0.000 4.669 0.000
0.000 0.000 4.669
```

Energy relative to the elements   1.6479 eV/atom
Symmetry   Pm-3m

(9)
## CaSnPd2Rh (meta-GGA SCAN)

Data for CaSnPd2Rh at its PBEsol-relaxed geometry. Values from VASP.

Quantum ESPRESSO input file:
```
&SYSTEM
  ibrav = 0, nat = 5, ntyp = 4
/
ATOMIC_SPECIES
Ca 40.08 Ca.upf
Sn 118.71 Sn.upf
Pd 106.42 Pd.upf
Rh 102.91 Rh.upf
ATOMIC_POSITIONS crystal
Ca 0.000 0.000 0.000
Sn 0.500 0.500 0.500
Pd 0.000 0.500 0.000
Pd 0.500 0.000 0.000
Rh 0.000 0.000 0.500
CELL_PARAMETERS angstrom
4.760 0.000 0.000
0.000 4.760 0.000
0.000 0.000 4.682
```

Energy relative to the elements   0.8456 eV/atom
Symmetry   P4/mmm

(10)
## Ca2SbPd (meta-GGA SCAN)

Data for Ca2SbPd at its PBEsol-relaxed geometry. Values from VASP.

Quantum ESPRESSO input file:
```
&SYSTEM
  ibrav = 0, nat = 8, ntyp = 3
/
ATOMIC_SPECIES
Ca 40.08 Ca.upf
Sb 121.76 Sb.upf
Pd 106.42 Pd.upf
ATOMIC_POSITIONS crystal
Ca 0.090 0.125 0.465
Ca 0.375 0.910 0.035
Ca 0.660 0.625 0.535
Ca 0.875 0.340 0.965
Sb 0.250 0.750 0.500
Sb 0.500 0.500 0.000
Pd 0.000 0.000 0.000
Pd 0.750 0.250 0.500
CELL_PARAMETERS angstrom
-4.003 4.003 3.198
4.003 -4.003 3.198
4.003 4.003 -3.198
```

Symmetry   I-42d
ΔE_f (raw)   -0.57 eV/atom

(11)
## CaSbPd2 (meta-GGA SCAN)

Data for CaSbPd2 at its PBEsol-relaxed geometry. Values from VASP.

Quantum ESPRESSO input file:
```
&SYSTEM
  ibrav = 0, nat = 4, ntyp = 3
/
ATOMIC_SPECIES
Ca 40.08 Ca.upf
Sb 121.76 Sb.upf
Pd 106.42 Pd.upf
ATOMIC_POSITIONS crystal
Ca 0.000 0.000 0.000
Sb 0.500 0.500 0.500
Pd 0.250 0.250 0.250
Pd 0.750 0.750 0.750
CELL_PARAMETERS angstrom
0.000 3.333 3.333
3.333 0.000 3.333
3.333 3.333 0.000
```

Symmetry   Fm-3m
ΔE_f (raw)   -0.75 eV/atom

(12)
## Ca2Sb4Pd3 (meta-GGA SCAN)

Data for Ca2Sb4Pd3 at its PBEsol-relaxed geometry. Values from VASP.

Quantum ESPRESSO input file:
```
&SYSTEM
  ibrav = 0, nat = 18, ntyp = 3
/
ATOMIC_SPECIES
Ca 40.08 Ca.upf
Sb 121.76 Sb.upf
Pd 106.42 Pd.upf
ATOMIC_POSITIONS crystal
Ca 0.055 0.055 0.000
Ca 0.186 0.186 0.000
Ca 0.814 0.814 0.000
Ca 0.945 0.945 0.000
Sb 0.117 0.617 0.500
Sb 0.285 0.285 0.000
Sb 0.383 0.883 0.500
Sb 0.462 0.462 0.000
Sb 0.538 0.538 0.000
Sb 0.617 0.117 0.500
Sb 0.715 0.715 0.000
Sb 0.883 0.383 0.500
Pd 0.000 0.500 0.500
Pd 0.250 0.750 0.500
Pd 0.347 0.347 0.000
Pd 0.500 0.000 0.500
Pd 0.653 0.653 0.000
Pd 0.750 0.250 0.500
CELL_PARAMETERS angstrom
-2.225 2.225 20.637
2.225 -2.225 20.637
2.225 2.225 -20.637
```

Symmetry   I4/mmm
ΔE_f (raw)   -0.80 eV/atom

(13)
## CaScPd2 (meta-GGA SCAN)

Data for CaScPd2 at its PBEsol-relaxed geometry. Values from VASP.

Quantum ESPRESSO input file:
```
&SYSTEM
  ibrav = 0, nat = 4, ntyp = 3
/
ATOMIC_SPECIES
Ca 40.08 Ca.upf
Sc 44.96 Sc.upf
Pd 106.42 Pd.upf
ATOMIC_POSITIONS crystal
Ca 0.000 0.000 0.000
Sc 0.500 0.500 0.500
Pd 0.250 0.250 0.250
Pd 0.750 0.750 0.750
CELL_PARAMETERS angstrom
0.000 3.348 3.348
3.348 0.000 3.348
3.348 3.348 0.000
```

Energy relative to the elements   -0.7910 eV/atom
Symmetry   Fm-3m

(14)
## Ca2ScPd2 (meta-GGA SCAN)

Data for Ca2ScPd2 at its PBEsol-relaxed geometry. Values from VASP.

Quantum ESPRESSO input file:
```
&SYSTEM
  ibrav = 0, nat = 10, ntyp = 3
/
ATOMIC_SPECIES
Ca 40.08 Ca.upf
Sc 44.96 Sc.upf
Pd 106.42 Pd.upf
ATOMIC_POSITIONS crystal
Ca 0.168 0.332 0.000
Ca 0.332 0.832 0.000
Ca 0.668 0.168 0.000
Ca 0.832 0.668 0.000
Sc 0.000 0.000 0.500
Sc 0.500 0.500 0.500
Pd 0.135 0.635 0.500
Pd 0.365 0.135 0.500
Pd 0.635 0.865 0.500
Pd 0.865 0.365 0.500
CELL_PARAMETERS angstrom
7.121 0.000 0.000
0.000 7.121 0.000
0.000 0.000 4.423
```

Energy relative to the elements   -0.6494 eV/atom
Symmetry   P4/mbm

(15)
## CaPdSe2 (meta-GGA SCAN)

Data for CaPdSe2 at its PBEsol-relaxed geometry. Values from VASP.

Quantum ESPRESSO input file:
```
&SYSTEM
  ibrav = 0, nat = 4, ntyp = 3
/
ATOMIC_SPECIES
Ca 40.08 Ca.upf
Pd 106.42 Pd.upf
Se 78.96 Se.upf
ATOMIC_POSITIONS crystal
Ca 0.000 0.000 0.000
Pd 0.500 0.500 0.500
Se 0.115 0.115 0.115
Se 0.885 0.885 0.885
CELL_PARAMETERS angstrom
1.906 1.101 8.157
-1.906 1.101 8.157
0.000 -2.201 8.157
```

Symmetry   R-3m
Energy above the lowest structure with this stoichiometry   0.275 eV per atom
ΔE_f (raw)   -0.45 eV/atom

(16)
## CaPdSe2 (meta-GGA SCAN)

Data for CaPdSe2 at its PBEsol-relaxed geometry. Values from VASP.

Quantum ESPRESSO input file:
```
&SYSTEM
  ibrav = 0, nat = 4, ntyp = 3
/
ATOMIC_SPECIES
Ca 40.08 Ca.upf
Pd 106.42 Pd.upf
Se 78.96 Se.upf
ATOMIC_POSITIONS crystal
Ca 0.000 0.000 0.000
Pd 0.500 0.500 0.500
Se 0.250 0.250 0.250
Se 0.750 0.750 0.750
CELL_PARAMETERS angstrom
0.000 3.380 3.380
3.380 0.000 3.380
3.380 3.380 0.000
```

Symmetry   Fm-3m
Energy above the lowest structure with this stoichiometry   0.000 eV per atom
ΔE_f (raw)   -0.72 eV/atom

(17)
## CaPd3Se (meta-GGA SCAN)

Data for CaPd3Se at its PBEsol-relaxed geometry. Values from VASP.

Quantum ESPRESSO input file:
```
&SYSTEM
  ibrav = 0, nat = 5, ntyp = 3
/
ATOMIC_SPECIES
Ca 40.08 Ca.upf
Pd 106.42 Pd.upf
Se 78.96 Se.upf
ATOMIC_POSITIONS crystal
Ca 0.000 0.000 0.000
Pd 0.000 0.500 0.500
Pd 0.500 0.000 0.500
Pd 0.500 0.500 0.000
Se 0.500 0.500 0.500
CELL_PARAMETERS angstrom
4.684 0.000 0.000
0.000 4.684 0.000
0.000 0.000 4.684
```

Symmetry   Pm-3m
ΔE_f (raw)   -0.50 eV/atom

(18)
## CaPd2Se2 (meta-GGA SCAN)

Data for CaPd2Se2 at its PBEsol-relaxed geometry. Values from VASP.

Quantum ESPRESSO input file:
```
&SYSTEM
  ibrav = 0, nat = 5, ntyp = 3
/
ATOMIC_SPECIES
Ca 40.08 Ca.upf
Pd 106.42 Pd.upf
Se 78.96 Se.upf
ATOMIC_POSITIONS crystal
Ca 0.000 0.000 0.000
Pd 0.338 0.338 0.000
Pd 0.662 0.662 0.000
Se 0.250 0.750 0.500
Se 0.750 0.250 0.500
CELL_PARAMETERS angstrom
-2.435 2.435 4.270
2.435 -2.435 4.270
2.435 2.435 -4.270
```

Symmetry   I4/mmm
ΔE_f (raw)   -0.78 eV/atom

(19)
## Ca2Si2Pd (meta-GGA SCAN)

Data for Ca2Si2Pd at its PBEsol-relaxed geometry. Values from VASP.

Quantum ESPRESSO input file:
```
&SYSTEM
  ibrav = 0, nat = 10, ntyp = 3
/
ATOMIC_SPECIES
Ca 40.08 Ca.upf
Si 28.09 Si.upf
Pd 106.42 Pd.upf
ATOMIC_POSITIONS crystal
Ca 0.171 0.329 0.000
Ca 0.329 0.829 0.000
Ca 0.671 0.171 0.000
Ca 0.829 0.671 0.000
Si 0.134 0.634 0.500
Si 0.366 0.134 0.500
Si 0.634 0.866 0.500
Si 0.866 0.366 0.500
Pd 0.000 0.000 0.500
Pd 0.500 0.500 0.500
CELL_PARAMETERS angstrom
6.531 0.000 0.000
0.000 6.531 0.000
0.000 0.000 4.616
```

Symmetry   P4/mbm
ΔE_f (raw)   -0.64 eV/atom

(20)
## CaSi3Pd (meta-GGA SCAN)

Data for CaSi3Pd at its PBEsol-relaxed geometry. Values from VASP.

Quantum ESPRESSO input file:
```
&SYSTEM
  ibrav = 0, nat = 5, ntyp = 3
/
ATOMIC_SPECIES
Ca 40.08 Ca.upf
Si 28.09 Si.upf
Pd 106.42 Pd.upf
ATOMIC_POSITIONS crystal
Ca 0.000 0.000 0.000
Si 0.000 0.000 0.500
Si 0.000 0.500 0.000
Si 0.500 0.000 0.000
Pd 0.500 0.500 0.500
CELL_PARAMETERS angstrom
4.979 0.000 0.000
0.000 4.979 0.000
0.000 0.000 4.979
```

Symmetry   Pm-3m
ΔE_f (raw)   1.90 eV/atom

So what do the calculations give for electronic total energy? Going down the list: -29.3016; -30.5995; -36.8009; -31.4412; -38.4694; -18.1385; -20.5164; -34.1689; -28.1353; -22.9114; -28.8691; -30.4301; -23.1533; -20.4719; -21.0965; -21.3713; -26.1162; -23.8548; -15.0711; -12.5991 eV per atom.